First-principles (PBE) data for an optimized crystal structure of Ho3TmPt4, as listed in Alexandria via LeMat-Bulk.

Computed properties:
Energy relative to the elements in eV/atom: -1.0735

Structure (CIF):
```
data_Ho3TmPt4
_chemical_formula_sum 'Ho6 Tm2 Pt8'
_cell_length_a 3.7725
_cell_length_b 6.5845
_cell_length_c 15.1449
_cell_angle_alpha 90.00
_cell_angle_beta 90.00
_cell_angle_gamma 90.00
_symmetry_space_group_name_H-M 'I m m m'
_symmetry_Int_Tables_number 71
_symmetry_space_group_name_Hall '-I 2 2'
loop_
_atom_site_label
_atom_site_type_symbol
_atom_site_fract_x
_atom_site_fract_y
_atom_site_fract_z
Ho1 Ho 0.0000 0.0000 0.0000
Ho2 Ho 0.0000 0.5000 0.2002
Tm1 Tm 0.0000 0.0000 0.5000
Pt1 Pt 0.0000 0.2932 0.3717
```

First-principles (PBE) data for an optimized crystal structure of TcMo2Os, as listed in Alexandria via LeMat-Bulk.

Computed properties:
Polymorph energy (0 for the lowest one) in meV per atom: 124
Energy relative to the elements in eV/atom: 0.2297

Structure (CIF):
```
data_TcMo2Os
_chemical_formula_sum 'Tc4 Mo8 Os4'
_cell_length_a 6.2489
_cell_length_b 6.2489
_cell_length_c 6.2489
_cell_angle_alpha 90.00
_cell_angle_beta 90.00
_cell_angle_gamma 90.00
_symmetry_space_group_name_H-M 'F -4 3 m'
_symmetry_Int_Tables_number 216
_symmetry_space_group_name_Hall 'F -4 2 3'
loop_
_atom_site_label
_atom_site_type_symbol
_atom_site_fract_x
_atom_site_fract_y
_atom_site_fract_z
Tc1 Tc 0.0000 0.0000 0.0000
Mo1 Mo 0.0000 0.0000 0.5000
Mo2 Mo 0.2500 0.2500 0.2500
Os1 Os 0.2500 0.2500 0.7500
```

First-principles (PBE) data for an optimized crystal structure of Tm3Mg5Ag2, as listed in Alexandria via LeMat-Bulk.

Computed properties:
Energy relative to the elements in eV/atom: -0.0085

Structure (CIF):
```
data_Tm3Mg5Ag2
_chemical_formula_sum 'Tm12 Mg20 Ag8'
_cell_length_a 12.5963
_cell_length_b 12.6575
_cell_length_c 6.2231
_cell_angle_alpha 90.00
_cell_angle_beta 90.00
_cell_angle_gamma 90.00
_symmetry_space_group_name_H-M 'I b a m'
_symmetry_Int_Tables_number 72
_symmetry_space_group_name_Hall '-I 2 2c'
loop_
_atom_site_label
_atom_site_type_symbol
_atom_site_fract_x
_atom_site_fract_y
_atom_site_fract_z
Tm1 Tm 0.0000 0.0000 0.2500
Tm2 Tm 0.2387 0.1475 0.0000
Mg1 Mg 0.0000 0.2639 0.2500
Mg2 Mg 0.0000 0.5000 0.2500
Mg3 Mg 0.1645 0.4015 0.0000
Ag1 Ag 0.1361 0.1440 0.5000
```

First-principles (PBE) data for an optimized crystal structure of MgCSe3, as listed in Alexandria via LeMat-Bulk.

Computed properties:
Polymorph energy (0 for the lowest one) in meV per atom: 924
Formation energy without anion corrections in eV per formula unit: 8.0

Structure (CIF):
```
data_MgCSe3
_chemical_formula_sum 'Mg1 C1 Se3'
_cell_length_a 4.9679
_cell_length_b 4.9679
_cell_length_c 4.9679
_cell_angle_alpha 90.00
_cell_angle_beta 90.00
_cell_angle_gamma 90.00
_symmetry_space_group_name_H-M 'P m -3 m'
_symmetry_Int_Tables_number 221
_symmetry_space_group_name_Hall '-P 4 2 3'
loop_
_atom_site_label
_atom_site_type_symbol
_atom_site_fract_x
_atom_site_fract_y
_atom_site_fract_z
Mg1 Mg 0.0000 0.0000 0.0000
C1 C 0.5000 0.5000 0.5000
Se1 Se 0.0000 0.0000 0.5000
```

First-principles (PBE) data for an optimized crystal structure of NbCd2In, as listed in Alexandria via LeMat-Bulk.

Computed properties:
Energy relative to the elements in eV/atom: 0.4727

Structure (CIF):
```
data_NbCd2In
_chemical_formula_sum 'Nb4 Cd8 In4'
_cell_length_a 7.8729
_cell_length_b 7.8729
_cell_length_c 5.8404
_cell_angle_alpha 90.00
_cell_angle_beta 90.00
_cell_angle_gamma 90.00
_symmetry_space_group_name_H-M 'I -4 2 d'
_symmetry_Int_Tables_number 122
_symmetry_space_group_name_Hall 'I -4 2bw'
loop_
_atom_site_label
_atom_site_type_symbol
_atom_site_fract_x
_atom_site_fract_y
_atom_site_fract_z
Nb1 Nb 0.0000 0.0000 0.0000
Cd1 Cd 0.2476 0.2500 0.6250
In1 In 0.0000 0.0000 0.5000
```

First-principles (PBE) data for an optimized crystal structure of Rb2HgPd, as listed in Alexandria via LeMat-Bulk.

Computed properties:
Energy relative to the elements in eV/atom: 0.3881

Structure (CIF):
```
data_Rb2HgPd
_chemical_formula_sum 'Rb6 Hg3 Pd3'
_cell_length_a 3.8523
_cell_length_b 3.8523
_cell_length_c 35.3942
_cell_angle_alpha 90.00
_cell_angle_beta 90.00
_cell_angle_gamma 120.00
_symmetry_space_group_name_H-M 'R -3 m'
_symmetry_Int_Tables_number 166
_symmetry_space_group_name_Hall '-R 3 2"'
loop_
_atom_site_label
_atom_site_type_symbol
_atom_site_fract_x
_atom_site_fract_y
_atom_site_fract_z
Rb1 Rb 0.0000 0.0000 0.0827
Hg1 Hg 0.0000 0.0000 0.5000
Pd1 Pd 0.0000 0.0000 0.0000
```

First-principles (PBE) data for an optimized crystal structure of KGeBr3, as listed in Alexandria via LeMat-Bulk.

Computed properties:
Formation energy without anion corrections in eV per formula unit: -2.7

Structure (CIF):
```
data_KGeBr3
_chemical_formula_sum 'K4 Ge4 Br12'
_cell_length_a 5.8275
_cell_length_b 5.8275
_cell_length_c 23.5477
_cell_angle_alpha 90.00
_cell_angle_beta 90.00
_cell_angle_gamma 90.00
_symmetry_space_group_name_H-M 'I -4 m 2'
_symmetry_Int_Tables_number 119
_symmetry_space_group_name_Hall 'I -4 -2'
loop_
_atom_site_label
_atom_site_type_symbol
_atom_site_fract_x
_atom_site_fract_y
_atom_site_fract_z
K1 K 0.0000 0.0000 0.0000
K2 K 0.0000 0.5000 0.2500
Ge1 Ge 0.0000 0.5000 0.6923
Br1 Br 0.0000 0.0000 0.2876
Br2 Br 0.0000 0.2510 0.1205
```

First-principles (PBE) data for an optimized crystal structure of Tb5Nd12Y2, as listed in Alexandria via LeMat-Bulk.

Computed properties:
Polymorph energy (0 for the lowest one) in meV per atom: 27
Energy relative to the elements in eV/atom: 0.1284

Structure (CIF):
```
data_Tb5Nd12Y2
_chemical_formula_sum 'Tb10 Nd24 Y4'
_cell_length_a 15.8307
_cell_length_b 10.3720
_cell_length_c 8.0586
_cell_angle_alpha 90.00
_cell_angle_beta 91.96
_cell_angle_gamma 90.00
_symmetry_space_group_name_H-M 'C 1 2/m 1'
_symmetry_Int_Tables_number 12
loop_
_symmetry_equiv_pos_as_xyz
'x,y,z'
'-x,-y,-z'
'-x,y,-z'
'x,-y,z'
'x+1/2,y+1/2,z'
'-x+1/2,-y+1/2,-z'
'-x+1/2,y+1/2,-z'
'x+1/2,-y+1/2,z'
loop_
_atom_site_label
_atom_site_type_symbol
_atom_site_fract_x
_atom_site_fract_y
_atom_site_fract_z
Tb1 Tb 0.0000 0.0000 0.0000
Tb2 Tb 0.1501 0.5000 0.5851
Tb3 Tb 0.2454 0.0000 0.9879
Nd1 Nd 0.0516 0.5000 0.2098
Nd2 Nd 0.1060 0.2739 0.8883
Nd3 Nd 0.1491 0.0000 0.6185
Nd4 Nd 0.1904 0.2291 0.2940
Y1 Y 0.0000 0.2455 0.5000
```

First-principles (PBE) data for an optimized crystal structure of Ce2DyGe2Pt7, as listed in Alexandria via LeMat-Bulk.

Computed properties:
Energy relative to the elements in eV/atom: -0.9640

Structure (CIF):
```
data_Ce2DyGe2Pt7
_chemical_formula_sum 'Ce4 Dy2 Ge4 Pt14'
_cell_length_a 5.8457
_cell_length_b 5.7551
_cell_length_c 14.1374
_cell_angle_alpha 90.00
_cell_angle_beta 98.42
_cell_angle_gamma 90.00
_symmetry_space_group_name_H-M 'C 1 2/m 1'
_symmetry_Int_Tables_number 12
loop_
_symmetry_equiv_pos_as_xyz
'x,y,z'
'-x,-y,-z'
'-x,y,-z'
'x,-y,z'
'x+1/2,y+1/2,z'
'-x+1/2,-y+1/2,-z'
'-x+1/2,y+1/2,-z'
'x+1/2,-y+1/2,z'
loop_
_atom_site_label
_atom_site_type_symbol
_atom_site_fract_x
_atom_site_fract_y
_atom_site_fract_z
Ce1 Ce 0.1139 0.0000 0.3574
Dy1 Dy 0.0000 0.0000 0.0000
Ge1 Ge 0.0916 0.5000 0.2527
Pt1 Pt 0.0000 0.5000 0.0000
Pt2 Pt 0.1239 0.5000 0.4285
Pt3 Pt 0.1948 0.2505 0.8474
```

First-principles (PBE) data for an optimized crystal structure of TmCrSi3, as listed in Alexandria via LeMat-Bulk.

Computed properties:
Formation energy without anion corrections in eV per formula unit: -1.5

Structure (CIF):
```
data_TmCrSi3
_chemical_formula_sum 'Tm2 Cr2 Si6'
_cell_length_a 3.8323
_cell_length_b 3.9409
_cell_length_c 11.3984
_cell_angle_alpha 90.00
_cell_angle_beta 99.66
_cell_angle_gamma 90.00
_symmetry_space_group_name_H-M 'P 1 2/m 1'
_symmetry_Int_Tables_number 10
loop_
_symmetry_equiv_pos_as_xyz
'x,y,z'
'-x,-y,-z'
'-x,y,-z'
'x,-y,z'
loop_
_atom_site_label
_atom_site_type_symbol
_atom_site_fract_x
_atom_site_fract_y
_atom_site_fract_z
Tm1 Tm 0.1708 0.0000 0.3424
Cr1 Cr 0.3886 0.5000 0.7766
Si1 Si 0.0528 0.5000 0.1055
Si2 Si 0.2820 0.5000 0.5637
Si3 Si 0.4463 0.0000 0.8927
```

First-principles (PBE) data for an optimized crystal structure of CuSbPb, as listed in Alexandria via LeMat-Bulk.

Computed properties:
Polymorph energy (0 for the lowest one) in meV per atom: 23
Formation energy without anion corrections in eV per formula unit: 0.2

Structure (CIF):
```
data_CuSbPb
_chemical_formula_sum 'Cu2 Sb2 Pb2'
_cell_length_a 3.9671
_cell_length_b 5.0015
_cell_length_c 7.4497
_cell_angle_alpha 90.00
_cell_angle_beta 95.20
_cell_angle_gamma 90.00
_symmetry_space_group_name_H-M 'P 1 21/m 1'
_symmetry_Int_Tables_number 11
loop_
_symmetry_equiv_pos_as_xyz
'x,y,z'
'-x,-y,-z'
'-x,y+1/2,-z'
'x,-y+1/2,z'
loop_
_atom_site_label
_atom_site_type_symbol
_atom_site_fract_x
_atom_site_fract_y
_atom_site_fract_z
Cu1 Cu 0.0000 0.0000 0.0000
Sb1 Sb 0.4678 0.2500 0.8174
Pb1 Pb 0.1124 0.2500 0.3600
```

no.,uncorrected energy (eV/atom)
1,-6.3695
2,-10.5848
3,-2.7175
4,-2.6450
5,-3.1869
6,-1.4693
7,-2.6854
8,-4.7818
9,-6.6298
10,-6.3654
11,-3.9100